Crystalline NaPm2UN4 at its relaxed geometry. Source: Alexandria via LeMat-Bulk, functional PBE-GGA.

Lattice parameters (Å, degrees): 3.5833 6.0446 6.0576 71.57 90.00 90.00
Last column: nearest neighbours and their distance in Å.
Fractional positions:
N 0.5000 0.7273 0.1941  1 U 2.07
N 0.0000 0.7421 0.7664  3 Pm 2.41-2.58, 2 U 2.46, 1 Na 2.50
N 0.0000 0.2579 0.2336  3 Pm 2.41-2.58, 2 U 2.46, 1 Na 2.50
N 0.5000 0.2727 0.8059  1 U 2.07
Na 0.0000 0.5000 0.5000  6 N 2.50-2.63
Pm 0.5000 0.0000 0.5000  6 N 2.58-2.84
Pm 0.0000 0.0000 0.0000  6 N 2.41-2.47
U 0.5000 0.5000 0.0000  2 N 2.07

Values from the calculation:
calculated total energy = -8.053 eV/atom
formation energy without anion corrections = -1.127 eV per atom
M_tot = 0.4 μB per cell
density of states at the Fermi level = 4.210 states/eV per cell
theoretical density = 8.098 g cm⁻³
SG = No. 10